First-principles (PBE) data for AlCd2FeAs after structural relaxation, as listed in the Alexandria database.

* total magnetic moment: 0.00 μB per cell
* theoretical density: 5.7 g cm⁻³
* total energy: -3.376 eV/atom
* space-group type: No. 123
* E_form: 0.361 eV/atom
* Fermi-level density of states: 1.81 states/eV per cell

Unit cell a=5.0917 b=4.3261 c=5.0917 alpha=90.00 beta=90.00 gamma=90.00
Last column: nearest neighbours and their distance in Å.
Element x y z (fractional)
Al  0.5000  0.5000  0.5000  8 Cd 3.34, 4 As 3.60
Cd  0.0000  0.0000  0.5000  2 Fe 2.55
Cd  0.5000  0.0000  0.0000  2 Fe 2.55
As  0.0000  0.5000  0.0000  2 Fe 2.16
Fe  0.0000  0.0000  0.0000  2 As 2.16